1.
Crystalline TiH8N2F6 at its relaxed geometry. Source: Alexandria, functional GGA-PBEsol.

Calculated total energy in eV per atom: -5.443
Space group: P-3m1, No. 164

Cell: 5.6351 5.6351 5.0619 Å, 90.00 90.00 120.00°
Last column: nearest neighbours and their distance in Å.
Element x y z (fractional)
Ti: 0.0000 0.0000 0.0000  6 F 1.88
H: 0.1330 0.5665 0.2564  1 N 1.04
H: 0.3333 0.6667 0.5284  1 N 1.04
H: 0.4335 0.5665 0.2564  1 N 1.04
H: 0.4335 0.8670 0.2564  1 N 1.04
H: 0.5665 0.1330 0.7436  1 N 1.04
H: 0.5665 0.4335 0.7436  1 N 1.04
H: 0.6667 0.3333 0.4716  1 N 1.04
H: 0.8670 0.4335 0.7436  1 N 1.04
N: 0.3333 0.6667 0.3238  4 H 1.04
N: 0.6667 0.3333 0.6762  4 H 1.04
F: 0.1592 0.3184 0.7909  1 Ti 1.88, 2 H 2.06
F: 0.1592 0.8408 0.7909  1 Ti 1.88, 2 H 2.06
F: 0.3184 0.1592 0.2091  1 Ti 1.88, 2 H 2.06
F: 0.6816 0.8408 0.7909  1 Ti 1.88, 2 H 2.06
F: 0.8408 0.1592 0.2091  1 Ti 1.88, 2 H 2.06
F: 0.8408 0.6816 0.2091  1 Ti 1.88, 2 H 2.06



2.
Crystalline B2SbRuI at its relaxed geometry. Source: Alexandria, functional GGA-PBEsol.

Uncorrected formation energy in eV/atom: 2.342
Space group: P4/mmm, No. 123

Cell: 4.2807 4.2807 5.9650 Å, 90.00 90.00 90.00°
Last column: nearest neighbours and their distance in Å.
Element x y z (fractional)
B: 0.0000 0.5000 0.0000  2 Sb 2.14
B: 0.5000 0.0000 0.0000  2 Sb 2.14
Sb: 0.0000 0.0000 0.0000  4 B 2.14
Ru: 0.5000 0.5000 0.5000  4 I 3.03
I: 0.0000 0.0000 0.5000  2 Sb 2.98, 4 Ru 3.03



Sequential calculated density output: 2.361 5.642 Mg/m³